The following is a DFT calculation (PBE) of a geometry-optimized CeMnIn2S6 structure.

Cell: 13.169 11.050 7.228 Å, 90.00 110.98 90.00°
Space group C2/c (No. 15)
Asymmetric unit:
Ce 0.000 0.149 0.250
Mn 0.000 0.191 0.750
In 0.181 0.437 0.207
S 0.110 0.060 0.646
S 0.126 0.386 0.490
S 0.132 0.234 0.052

Summary:
* E_form (uncorrected): -0.825 eV/atom
* total energy: -5.36 eV per atom